(1)
Li2U2S7 | GGA-PBE | relaxed

Unit cell a=6.912 b=6.912 c=7.730 alpha=101.81 beta=101.81 gamma=119.20
Fractional coordinates of all 11 atoms:
Li 0.154 0.154 0.277
Li 0.846 0.846 0.723
U 0.330 0.670 0.000
U 0.670 0.330 0.000
S 0.000 0.000 0.500
S 0.094 0.458 0.200
S 0.284 0.284 0.796
S 0.458 0.094 0.200
S 0.542 0.906 0.800
S 0.716 0.716 0.204
S 0.906 0.542 0.800

Raw formation energy (eV per atom): -1.04

---

(2)
Pm2NdY3 | GGA-PBE | relaxed

Unit cell a=6.725 b=6.725 c=9.060 alpha=97.66 beta=97.66 gamma=95.38
Fractional coordinates of all 12 atoms:
Pm 0.124 0.629 0.874
Pm 0.371 0.876 0.626
Pm 0.629 0.124 0.374
Pm 0.876 0.371 0.126
Nd 0.414 0.586 0.250
Nd 0.586 0.414 0.750
Y 0.082 0.918 0.250
Y 0.169 0.336 0.502
Y 0.336 0.169 0.002
Y 0.664 0.831 0.998
Y 0.831 0.664 0.498
Y 0.918 0.082 0.750

Formation energy from the elements (eV/atom): 0.063

---

(3)
Pm7Er2Tl2 | GGA-PBE | relaxed

Unit cell a=11.473 b=11.473 c=11.473 alpha=161.56 beta=54.50 gamma=129.20
Fractional coordinates of all 11 atoms:
Pm 0.000 0.000 0.000
Pm 0.316 0.655 0.661
Pm 0.330 0.459 0.871
Pm 0.588 0.459 0.129
Pm 0.652 0.284 0.368
Pm 0.916 0.284 0.632
Pm 0.995 0.655 0.339
Er 0.324 0.824 0.500
Er 0.650 0.650 0.000
Tl 0.184 0.940 0.244
Tl 0.696 0.940 0.756

Formation energy from the elements (eV/atom): -0.027

---

(4)
NdSmDyZr | GGA-PBE | relaxed

Unit cell a=5.563 b=5.563 c=5.563 alpha=60.00 beta=60.00 gamma=60.00
Fractional coordinates of all 4 atoms:
Nd 0.000 0.000 0.000
Sm 0.250 0.250 0.250
Dy 0.750 0.750 0.750
Zr 0.500 0.500 0.500

Formation energy from the elements (eV/atom): 0.246

---

(5)
TcRuPb | GGA-PBE | relaxed

Unit cell a=2.983 b=2.983 c=6.974 alpha=90.00 beta=90.00 gamma=120.00
Fractional coordinates of all 3 atoms:
Tc 0.000 0.000 0.000
Ru 0.333 0.667 0.722
Pb 0.667 0.333 0.363

Offset from the most stable computed form (eV per atom): 0.1466
Formation energy from the elements (eV/atom): 0.569

---

(6)
ReNF3 | GGA-PBE | relaxed

Unit cell a=3.997 b=3.997 c=3.997 alpha=90.00 beta=90.00 gamma=90.00
Fractional coordinates of all 5 atoms:
Re 0.000 0.000 0.000
N 0.500 0.500 0.500
F 0.000 0.000 0.500
F 0.000 0.500 0.000
F 0.500 0.000 0.000

Raw formation energy (eV per atom): 0.37
Offset from the most stable computed form (eV per atom): 0.0000

---

| no. | D(E_F) (states/eV per atom) | calculated volume (Å³ per cell) |
| --- | --- | --- |
| 1 | 0.91 | 294.8 |
| 2 | 1.54 | 399.8 |
| 3 | 1.46 | 369.0 |
| 4 | 2.18 | 121.7 |
| 5 | 1.01 | 53.7 |
| 6 | 1.70 | 63.9 |